The following is a DFT calculation (GGA+U) of crystalline MnPb3Cl2F6 at its relaxed geometry.

Structure (CIF):
```
data_MnPb3Cl2F6
_chemical_formula_sum 'Mn2 Pb6 Cl4 F12'
_cell_length_a 13.130
_cell_length_b 7.237
_cell_length_c 5.564
_cell_angle_alpha 90.00
_cell_angle_beta 98.34
_cell_angle_gamma 90.00
_space_group_name_H-M_alt 'C 1 2/m 1'
_space_group_IT_number 12
loop_
_space_group_symop_operation_xyz
'x,y,z'
'-x,-y,-z'
'-x,y,-z'
'x,-y,z'
'x+1/2,y+1/2,z'
'-x+1/2,-y+1/2,-z'
'-x+1/2,y+1/2,-z'
'x+1/2,-y+1/2,z'
loop_
_atom_site_label
_atom_site_type_symbol
_atom_site_fract_x
_atom_site_fract_y
_atom_site_fract_z
Mn1 Mn 0.000 0.000 0.000
Pb1 Pb 0.000 0.500 0.500
Pb2 Pb 0.250 0.250 0.000
Cl1 Cl 0.202 0.500 0.369
F1 F 0.065 0.242 0.801
F2 F 0.153 0.000 0.163
```

Properties
Its uncorrected energy is -4.835 eV/atom. The value obtained for the density of states at the Fermi level is 0.000 states/eV per atom. The value obtained for the density is 5.5 g cm⁻³.